[1]
## TlZn2Hg (SCAN)

Data for a PBEsol-optimized structure of TlZn2Hg.

Output
The calculated volume comes out at 20.50 A^3/atom. The energy of formation from the pure elements comes out at 159.0 meV/atom. The space group is C2/m (12). The relative energy among the computed polymorphs is 0.000 kcal/mol of atoms.

```
4
Lattice="4.301 -1.669 0.000 4.301 1.669 0.000 -1.296 0.000 5.712" Properties=species:S:1:pos:R:3 pbc="T T T"
Tl 0.000 0.000 0.000
Zn 1.191 0.000 4.035
Zn 6.115 0.000 1.677
Hg 3.653 0.000 2.856
```

=====

[2]
## TlZnHg2 (SCAN)

Data for a PBEsol-optimized structure of TlZnHg2.

Output
The calculated volume comes out at 22.60 A^3/atom. The energy of formation from the pure elements comes out at 115.9 meV/atom. The space group is P4mm (99).

```
4
Lattice="3.457 0.000 0.000 0.000 3.457 0.000 0.000 0.000 7.565" Properties=species:S:1:pos:R:3 pbc="T T T"
Tl 0.000 0.000 0.000
Zn 1.729 1.729 1.931
Hg 0.000 0.000 3.417
Hg 1.729 1.729 5.394
```

=====

[3]
## Tl2ZnHg (SCAN)

Data for a PBEsol-optimized structure of Tl2ZnHg.

Output
The calculated volume comes out at 23.64 A^3/atom. The energy of formation from the pure elements comes out at 99.8 meV/atom. The space group is P4mm (99). The relative energy among the computed polymorphs is 0.191 kcal/mol of atoms.

```
4
Lattice="3.403 0.000 0.000 0.000 3.403 0.000 0.000 0.000 8.165" Properties=species:S:1:pos:R:3 pbc="T T T"
Tl 0.000 0.000 0.000
Tl 1.701 1.701 2.488
Zn 0.000 0.000 4.437
Hg 1.701 1.701 5.934
```

=====

[4]
## Tl2ZnHg2 (SCAN)

Data for a PBEsol-optimized structure of Tl2ZnHg2.

Output
The calculated volume comes out at 27.52 A^3/atom. The energy of formation from the pure elements comes out at 288.4 meV/atom. The space group is I4/mmm (139). The relative energy among the computed polymorphs is 4.826 kcal/mol of atoms.

```
5
Lattice="-2.179 2.179 7.246 2.179 -2.179 7.246 2.179 2.179 -7.246" Properties=species:S:1:pos:R:3 pbc="T T T"
Tl 2.179 0.000 3.623
Tl 0.000 2.179 3.623
Zn 0.000 0.000 0.000
Hg 0.000 0.000 5.880
Hg 0.000 0.000 8.613
```

=====

[5]
## ZrTlZn2Hg (SCAN)

Data for a PBEsol-optimized structure of ZrTlZn2Hg.

Output
The calculated volume comes out at 30.47 A^3/atom. The energy of formation from the pure elements comes out at 806.5 meV/atom. The space group is P4/mmm (123).

```
5
Lattice="5.177 0.000 0.000 0.000 5.177 0.000 0.000 0.000 5.684" Properties=species:S:1:pos:R:3 pbc="T T T"
Zr 0.000 0.000 0.000
Tl 0.000 0.000 2.842
Zn 0.000 2.588 0.000
Zn 2.588 0.000 0.000
Hg 2.588 2.588 2.842
```

=====

[6]
## Zr2TlHg (SCAN)

Data for a PBEsol-optimized structure of Zr2TlHg.

Output
The calculated volume comes out at 22.38 A^3/atom. The energy of formation from the pure elements comes out at 257.5 meV/atom. The space group is F-43m (216).

```
4
Lattice="0.000 3.551 3.551 3.551 0.000 3.551 3.551 3.551 0.000" Properties=species:S:1:pos:R:3 pbc="T T T"
Zr 0.000 0.000 0.000
Zr 1.775 1.775 1.775
Tl 3.551 3.551 3.551
Hg 5.326 5.326 5.326
```

=====

no.,uncorrected energy (eV per atom)
1,-41.73
2,-55.44
3,-56.50
4,-58.62
5,-38.84
6,-50.22